# 1
Compound: Zr4MnIr
Source: Alexandria via LeMat-Bulk
Functional: PBE
Structure: optimized geometry

Summary:
Crystal system: cubic
SG: F-43m, No. 216
VASP energy (eV/atom): -8.247
DFT formation energy (eV/f.u.): 2.739

CIF file:
```
data_Zr4MnIr
_chemical_formula_sum 'Zr4 Mn1 Ir1'
_symmetry_space_group_name_H-M 'P 1'
_symmetry_Int_Tables_number 1
_cell_length_a 5.570
_cell_length_b 5.570
_cell_length_c 5.570
_cell_angle_alpha 60.00
_cell_angle_beta 60.00
_cell_angle_gamma 60.00
loop_
_symmetry_equiv_pos_as_xyz
'x,y,z'
loop_
_atom_site_label
_atom_site_type_symbol
_atom_site_fract_x
_atom_site_fract_y
_atom_site_fract_z
_atom_site_occupancy
Zr1 Zr 0.124 0.124 0.124 1
Zr2 Zr 0.124 0.124 0.627 1
Zr3 Zr 0.124 0.627 0.124 1
Zr4 Zr 0.627 0.124 0.124 1
Mn1 Mn 0.500 0.500 0.500 1
Ir1 Ir 0.750 0.750 0.750 1
```

---

# 2
Compound: KIn3Pb2
Source: Alexandria via LeMat-Bulk
Functional: PBE
Structure: optimized geometry

Summary:
Crystal system: orthorhombic
SG: Cmcm, No. 63
VASP energy (eV/atom): -2.807
DFT formation energy (eV/f.u.): -0.113

CIF file:
```
data_KIn3Pb2
_chemical_formula_sum 'K2 In6 Pb4'
_symmetry_space_group_name_H-M 'P 1'
_symmetry_Int_Tables_number 1
_cell_length_a 7.846
_cell_length_b 7.846
_cell_length_c 6.737
_cell_angle_alpha 90.00
_cell_angle_beta 90.00
_cell_angle_gamma 90.43
loop_
_symmetry_equiv_pos_as_xyz
'x,y,z'
loop_
_atom_site_label
_atom_site_type_symbol
_atom_site_fract_x
_atom_site_fract_y
_atom_site_fract_z
_atom_site_occupancy
K1 K 0.208 0.792 0.750 1
K2 K 0.792 0.208 0.250 1
In1 In 0.066 0.596 0.250 1
In2 In 0.404 0.934 0.250 1
In3 In 0.451 0.549 0.250 1
In4 In 0.549 0.451 0.750 1
In5 In 0.596 0.066 0.750 1
In6 In 0.934 0.404 0.750 1
Pb1 Pb 0.255 0.255 0.000 1
Pb2 Pb 0.255 0.255 0.500 1
Pb3 Pb 0.745 0.745 0.000 1
Pb4 Pb 0.745 0.745 0.500 1
```

---

# 3
Compound: RbCl
Source: Alexandria via LeMat-Bulk
Functional: PBE
Structure: optimized geometry

Summary:
Crystal system: hexagonal
SG: P6_3/mmc, No. 194
VASP energy (eV/atom): -3.325

CIF file:
```
data_RbCl
_chemical_formula_sum 'Rb2 Cl2'
_symmetry_space_group_name_H-M 'P 1'
_symmetry_Int_Tables_number 1
_cell_length_a 4.633
_cell_length_b 4.633
_cell_length_c 8.074
_cell_angle_alpha 90.00
_cell_angle_beta 90.00
_cell_angle_gamma 120.00
loop_
_symmetry_equiv_pos_as_xyz
'x,y,z'
loop_
_atom_site_label
_atom_site_type_symbol
_atom_site_fract_x
_atom_site_fract_y
_atom_site_fract_z
_atom_site_occupancy
Rb1 Rb 0.333 0.667 0.250 1
Rb2 Rb 0.667 0.333 0.750 1
Cl1 Cl 0.000 0.000 0.000 1
Cl2 Cl 0.000 0.000 0.500 1
```

---

# 4
Compound: Co2P3
Source: Alexandria via LeMat-Bulk
Functional: PBE
Structure: optimized geometry

Summary:
Crystal system: trigonal
Distance to the lowest polymorph of the same formula (meV/atom): 246
SG: R-3m, No. 166
VASP energy (eV/atom): -6.206
DFT formation energy (eV/f.u.): -0.590

CIF file:
```
data_Co2P3
_chemical_formula_sum 'Co2 P3'
_symmetry_space_group_name_H-M 'P 1'
_symmetry_Int_Tables_number 1
_cell_length_a 8.306
_cell_length_b 8.306
_cell_length_c 8.306
_cell_angle_alpha 20.59
_cell_angle_beta 20.59
_cell_angle_gamma 20.59
loop_
_symmetry_equiv_pos_as_xyz
'x,y,z'
loop_
_atom_site_label
_atom_site_type_symbol
_atom_site_fract_x
_atom_site_fract_y
_atom_site_fract_z
_atom_site_occupancy
Co1 Co 0.096 0.096 0.096 1
Co2 Co 0.904 0.904 0.904 1
P1 P 0.293 0.293 0.293 1
P2 P 0.500 0.500 0.500 1
P3 P 0.707 0.707 0.707 1
```

---

> VASP energy of number 4 (Co2P3)?

-6.206 eV/atom